(1)
{"formula": "TbThGa4", "functional": "GGA-PBE", "state": "optimized geometry", "cell": [[-0.232, 3.037, 2.927], [-3.730, 1.221, -1.563], [-1.455, -6.787, 3.878]], "species": ["Tb", "Th", "Ga", "Ga", "Ga", "Ga"], "fractional_positions": [[0.250, 0.750, 0.500], [0.000, 0.000, 0.000], [0.668, 0.168, 0.336], [0.584, 0.584, 0.167], [0.832, 0.332, 0.664], [0.416, 0.416, 0.833]]}

***

(2)
{"formula": "TbThGa4", "functional": "GGA-PBE", "state": "optimized geometry", "cell": [[5.609, 0.000, 0.000], [2.805, 4.858, 0.000], [2.805, 1.619, 4.580]], "species": ["Tb", "Ga", "Ga", "Ga", "Ga", "Th"], "fractional_positions": [[0.250, 0.250, 0.250], [0.625, 0.625, 0.125], [0.625, 0.125, 0.625], [0.625, 0.625, 0.625], [0.125, 0.625, 0.625], [0.000, 0.000, 0.000]]}

***

The structure shown above that is least stable: (2).